Here is crystalline La3Sm4Cd2 at its relaxed geometry from Alexandria. Energies are from PBE.

Computed properties:
final energy: -3.977 eV/atom
crystal system: monoclinic
formation enthalpy at 0 K: -33.4 meV/atom
symmetry: C2/c (15)
total moment: 0.0 μB/f.u.

Cell lengths 6.572, 9.683, 9.683 Å; angles 75.85, 81.24, 81.24 degrees
Element x y z (fractional)
La1 0.750 0.529 0.471
La2 0.561 0.835 0.970
La3 0.061 0.970 0.835
La4 0.439 0.165 0.030
La5 0.939 0.030 0.165
La6 0.250 0.471 0.529
Sm1 0.061 0.687 0.168
Sm2 0.071 0.173 0.449
Sm3 0.429 0.551 0.827
Sm4 0.561 0.168 0.687
Sm5 0.939 0.313 0.832
Sm6 0.929 0.827 0.551
Sm7 0.439 0.832 0.313
Sm8 0.571 0.449 0.173
Cd1 0.073 0.381 0.136
Cd2 0.573 0.136 0.381
Cd3 0.427 0.864 0.619
Cd4 0.927 0.619 0.864